[1]
Below is HgMo2Se2 after structural relaxation, with properties calculated at the PBE level.

Calculated values
- formation energy from raw total energies (eV per atom) = 0.40
- V (A^3/atom) = 18.2
- ΔE to the lowest computed polymorph (meV/atom) = 573
- size of the total moment (μB/atom) = 0.000
- E (eV/atom) = -5.384
- DOS at the Fermi energy (states/eV/atom) = 1.061

The structure in POSCAR format:
```
HgMo2Se2
1.0
-6.114 3.309 -3.523
0.903 -4.799 -6.074
-1.821 -1.984 1.297
Hg Se Mo
2 4 4
Direct
0.000 0.000 0.000 Hg
0.500 0.500 0.000 Hg
0.863 0.637 0.000 Se
0.637 0.137 0.000 Se
0.137 0.363 0.000 Se
0.363 0.863 0.000 Se
0.645 0.855 0.500 Mo
0.145 0.645 0.500 Mo
0.855 0.355 0.500 Mo
0.355 0.145 0.500 Mo
```

[2]
Below is Hg2MoSe after structural relaxation, with properties calculated at the PBE level.

Calculated values
- formation energy from raw total energies (eV per atom) = 0.15
- V (A^3/atom) = 25.4
- size of the total moment (μB/atom) = 0.000
- E (eV/atom) = -3.580
- DOS at the Fermi energy (states/eV/atom) = 0.565

The structure in POSCAR format:
```
Hg2MoSe
1.0
4.679 -0.003 0.572
3.635 2.946 0.572
3.278 1.160 7.813
Mo Se Hg
1 1 2
Direct
0.473 0.473 0.375 Mo
0.185 0.185 0.375 Se
0.756 0.756 0.704 Hg
0.086 0.086 0.046 Hg
```